A geometry-optimized Na2LiRuRh structure, computed with PBE.

Values from the calculation:
- volume (Å³/atom) = 24.58
- final energy (eV per atom) = -2.757
- M_tot (Bohr magnetons per cell) = 2.6
- formation energy from the elements (eV per formula unit) = 7.4

Cell lengths 5.207, 5.207, 4.534 Å; angles 90.00, 90.00, 90.00 degrees
Sites, in units of the cell vectors:
Na 0.000 0.500 0.000
Na 0.500 0.000 0.000
Li 0.000 0.000 0.500
Ru 0.000 0.000 0.000
Rh 0.500 0.500 0.500